Record 1
{
  "formula": "BeCuBiIr",
  "functional": "GGA-PBE",
  "state": "optimized geometry",
  "e_above_lowest_polymorph_kj_per_mol_fu": 21,
  "space_group": "No. 216",
  "magnetic_moment_mub_per_cell": 0.00,
  "final_energy_ev_per_atom": -4.6422,
  "cell": [[0.000, 3.154, 3.154], [3.154, 0.000, 3.154], [3.154, 3.154, 0.000]],
  "species": ["Be", "Cu", "Bi", "Ir"],
  "frac_coords": [[0.000, 0.000, 0.000], [0.500, 0.500, 0.500], [0.750, 0.750, 0.750], [0.250, 0.250, 0.250]]
}

Record 2
{
  "formula": "LiBeCuBi",
  "functional": "GGA-PBE",
  "state": "optimized geometry",
  "e_above_lowest_polymorph_kj_per_mol_fu": 0,
  "space_group": "No. 216",
  "final_energy_ev_per_atom": -3.1399,
  "cell": [[0.000, 3.155, 3.155], [3.155, 0.000, 3.155], [3.155, 3.155, 0.000]],
  "species": ["Li", "Be", "Cu", "Bi"],
  "frac_coords": [[0.000, 0.000, 0.000], [0.500, 0.500, 0.500], [0.250, 0.250, 0.250], [0.750, 0.750, 0.750]]
}

Record 3
{
  "formula": "LiBeCuBi",
  "functional": "GGA-PBE",
  "state": "optimized geometry",
  "e_above_lowest_polymorph_kj_per_mol_fu": 22,
  "space_group": "No. 216",
  "final_energy_ev_per_atom": -3.0819,
  "cell": [[0.000, 3.186, 3.186], [3.186, 0.000, 3.186], [3.186, 3.186, 0.000]],
  "species": ["Li", "Be", "Cu", "Bi"],
  "frac_coords": [[0.000, 0.000, 0.000], [0.750, 0.750, 0.750], [0.500, 0.500, 0.500], [0.250, 0.250, 0.250]]
}

Record 4
{
  "formula": "MgBeCuBi",
  "functional": "GGA-PBE",
  "state": "optimized geometry",
  "e_above_lowest_polymorph_kj_per_mol_fu": 0,
  "space_group": "No. 216",
  "final_energy_ev_per_atom": -2.8689,
  "cell": [[0.000, 3.333, 3.333], [3.333, 0.000, 3.333], [3.333, 3.333, 0.000]],
  "species": ["Mg", "Be", "Cu", "Bi"],
  "frac_coords": [[0.000, 0.000, 0.000], [0.750, 0.750, 0.750], [0.250, 0.250, 0.250], [0.500, 0.500, 0.500]]
}

Record 5
{
  "formula": "MgBeCuBi",
  "functional": "GGA-PBE",
  "state": "optimized geometry",
  "e_above_lowest_polymorph_kj_per_mol_fu": 16,
  "space_group": "No. 216",
  "final_energy_ev_per_atom": -2.8281,
  "cell": [[0.000, 3.325, 3.325], [3.325, 0.000, 3.325], [3.325, 3.325, 0.000]],
  "species": ["Mg", "Be", "Cu", "Bi"],
  "frac_coords": [[0.000, 0.000, 0.000], [0.500, 0.500, 0.500], [0.750, 0.750, 0.750], [0.250, 0.250, 0.250]]
}

Record 6
{
  "formula": "BeCuBiMo",
  "functional": "GGA-PBE",
  "state": "optimized geometry",
  "e_above_lowest_polymorph_kj_per_mol_fu": 0,
  "space_group": "No. 216",
  "magnetic_moment_mub_per_cell": 0.05,
  "final_energy_ev_per_atom": -4.7773,
  "cell": [[0.000, 3.198, 3.198], [3.198, 0.000, 3.198], [3.198, 3.198, 0.000]],
  "species": ["Be", "Cu", "Bi", "Mo"],
  "frac_coords": [[0.000, 0.000, 0.000], [0.250, 0.250, 0.250], [0.500, 0.500, 0.500], [0.750, 0.750, 0.750]]
}

Record 7
{
  "formula": "BeCuBiMo",
  "functional": "GGA-PBE",
  "state": "optimized geometry",
  "e_above_lowest_polymorph_kj_per_mol_fu": 22,
  "space_group": "No. 216",
  "magnetic_moment_mub_per_cell": 2.33,
  "final_energy_ev_per_atom": -4.7198,
  "cell": [[0.000, 3.222, 3.222], [3.222, 0.000, 3.222], [3.222, 3.222, 0.000]],
  "species": ["Be", "Cu", "Bi", "Mo"],
  "frac_coords": [[0.000, 0.000, 0.000], [0.500, 0.500, 0.500], [0.250, 0.250, 0.250], [0.750, 0.750, 0.750]]
}

Record 8
{
  "formula": "BeNbCuBi",
  "functional": "GGA-PBE",
  "state": "optimized geometry",
  "e_above_lowest_polymorph_kj_per_mol_fu": 6,
  "space_group": "No. 216",
  "magnetic_moment_mub_per_cell": 0.14,
  "final_energy_ev_per_atom": -4.6777,
  "cell": [[0.000, 3.260, 3.260], [3.260, 0.000, 3.260], [3.260, 3.260, 0.000]],
  "species": ["Be", "Nb", "Cu", "Bi"],
  "frac_coords": [[0.000, 0.000, 0.000], [0.750, 0.750, 0.750], [0.250, 0.250, 0.250], [0.500, 0.500, 0.500]]
}

Record 9
{
  "formula": "BeNbCuBi",
  "functional": "GGA-PBE",
  "state": "optimized geometry",
  "e_above_lowest_polymorph_kj_per_mol_fu": 0,
  "space_group": "No. 216",
  "magnetic_moment_mub_per_cell": 1.47,
  "final_energy_ev_per_atom": -4.6944,
  "cell": [[0.000, 3.255, 3.255], [3.255, 0.000, 3.255], [3.255, 3.255, 0.000]],
  "species": ["Be", "Nb", "Cu", "Bi"],
  "frac_coords": [[0.000, 0.000, 0.000], [0.750, 0.750, 0.750], [0.500, 0.500, 0.500], [0.250, 0.250, 0.250]]
}

Record 10
{
  "formula": "BeCuNiBi",
  "functional": "GGA-PBE",
  "state": "optimized geometry",
  "e_above_lowest_polymorph_kj_per_mol_fu": 13,
  "space_group": "No. 216",
  "magnetic_moment_mub_per_cell": 0.00,
  "final_energy_ev_per_atom": -3.8401,
  "cell": [[0.000, 3.104, 3.104], [3.104, 0.000, 3.104], [3.104, 3.104, 0.000]],
  "species": ["Be", "Cu", "Ni", "Bi"],
  "frac_coords": [[0.000, 0.000, 0.000], [0.750, 0.750, 0.750], [0.500, 0.500, 0.500], [0.250, 0.250, 0.250]]
}

Record 11
{
  "formula": "BeCuNiBi",
  "functional": "GGA-PBE",
  "state": "optimized geometry",
  "e_above_lowest_polymorph_kj_per_mol_fu": 0,
  "space_group": "No. 216",
  "magnetic_moment_mub_per_cell": 0.01,
  "final_energy_ev_per_atom": -3.8746,
  "cell": [[0.000, 3.110, 3.110], [3.110, 0.000, 3.110], [3.110, 3.110, 0.000]],
  "species": ["Be", "Cu", "Ni", "Bi"],
  "frac_coords": [[0.000, 0.000, 0.000], [0.750, 0.750, 0.750], [0.250, 0.250, 0.250], [0.500, 0.500, 0.500]]
}

Record 12
{
  "formula": "BeCuBiPd",
  "functional": "GGA-PBE",
  "state": "optimized geometry",
  "e_above_lowest_polymorph_kj_per_mol_fu": 10,
  "space_group": "No. 216",
  "final_energy_ev_per_atom": -3.9324,
  "cell": [[0.000, 3.215, 3.215], [3.215, 0.000, 3.215], [3.215, 3.215, 0.000]],
  "species": ["Be", "Cu", "Bi", "Pd"],
  "frac_coords": [[0.000, 0.000, 0.000], [0.750, 0.750, 0.750], [0.500, 0.500, 0.500], [0.250, 0.250, 0.250]]
}